First-principles (GGA+U) data for a relaxed structure of MnTlF3, as listed in the Alexandria database. Values from VASP.

```
&SYSTEM
  ibrav = 0, nat = 10, ntyp = 3
/
ATOMIC_SPECIES
Mn 54.94 Mn.upf
Tl 204.38 Tl.upf
F 19.00 F.upf
ATOMIC_POSITIONS angstrom
Mn 1.5714 0.0000 1.4025
Mn 4.7143 0.0000 5.1286
Tl 1.5714 2.1521 4.8980
Tl 4.7143 2.1521 1.6330
F 0.0000 0.0000 0.0000
F 1.5714 0.0000 3.4261
F 1.5714 2.1521 1.4292
F 3.1429 0.0000 0.0000
F 4.7143 0.0000 3.1049
F 4.7143 2.1521 5.1018
CELL_PARAMETERS angstrom
6.2858 0.0000 0.0000
0.0000 4.3042 0.0000
0.0000 0.0000 6.5310
```

Properties
Final energy   -0.3941 Ry/atom
V   17.7 Å³/atom